(1)
{"formula": "AlCdHg2Se", "functional": "PBE-GGA", "state": "relaxed", "raw_formation_energy_ev_per_atom": 0.4548, "lattice_angstrom": [[5.385, 0.000, 0.000], [0.000, 5.300, 0.000], [0.000, 0.000, 5.385]], "species": ["Al", "Hg", "Hg", "Se", "Cd"], "fractional_positions": [[0.000, 0.500, 0.000], [0.000, 0.000, 0.500], [0.500, 0.000, 0.000], [0.500, 0.500, 0.500], [0.000, 0.000, 0.000]]}

***

(2)
{"formula": "Sm4AlCdHg2", "functional": "PBE-GGA", "state": "relaxed", "formation_enthalpy_0k_ev_per_atom": -0.3874, "lattice_angstrom": [[5.348, 0.000, 0.000], [2.674, 4.632, 0.000], [2.674, 1.544, 8.737]], "species": ["Sm", "Sm", "Sm", "Sm", "Al", "Cd", "Hg", "Hg"], "fractional_positions": [[0.378, 0.378, 0.865], [0.872, 0.872, 0.384], [0.128, 0.128, 0.616], [0.622, 0.622, 0.135], [0.500, 0.500, 0.500], [0.000, 0.000, 0.000], [0.747, 0.747, 0.759], [0.253, 0.253, 0.241]]}

***

(3)
{"formula": "Sr2AlCdHg6", "functional": "PBE-GGA", "state": "relaxed", "formation_enthalpy_0k_ev_per_atom": -0.2286, "lattice_angstrom": [[9.263, 0.253, 0.385], [0.137, 6.269, 0.723], [4.948, 3.740, 5.598]], "species": ["Sr", "Sr", "Al", "Cd", "Hg", "Hg", "Hg", "Hg", "Hg", "Hg"], "fractional_positions": [[0.725, 0.263, 0.550], [0.275, 0.737, 0.450], [0.000, 0.000, 0.000], [0.500, 0.500, 0.000], [0.382, 0.185, 0.514], [0.838, 0.723, 0.938], [0.208, 0.735, 0.103], [0.792, 0.265, 0.897], [0.162, 0.277, 0.062], [0.618, 0.815, 0.486]]}

***

(4)
{"formula": "SrAlCd2Hg4", "functional": "PBE-GGA", "state": "relaxed", "formation_enthalpy_0k_ev_per_atom": -0.1514, "lattice_angstrom": [[-3.074, -3.905, 0.585], [-2.004, -2.229, -4.007], [5.617, -7.862, -1.560]], "species": ["Sr", "Al", "Cd", "Cd", "Hg", "Hg", "Hg", "Hg"], "fractional_positions": [[0.000, 0.000, 0.000], [0.500, 0.500, 0.500], [0.754, 0.754, 0.739], [0.246, 0.246, 0.261], [0.393, 0.393, 0.822], [0.867, 0.867, 0.399], [0.133, 0.133, 0.601], [0.607, 0.607, 0.178]]}

***

(5)
{"formula": "Sr2AlCd4Hg3", "functional": "PBE-GGA", "state": "relaxed", "formation_enthalpy_0k_ev_per_atom": -0.2624, "lattice_angstrom": [[-1.700, 4.027, -1.450], [-4.260, -1.746, 0.144], [-1.164, 3.830, 12.001]], "species": ["Sr", "Sr", "Al", "Cd", "Cd", "Cd", "Cd", "Hg", "Hg", "Hg"], "fractional_positions": [[0.500, 0.000, 0.254], [0.000, 0.500, 0.746], [0.500, 0.500, 0.500], [0.500, 0.500, 0.000], [0.000, 0.000, 0.000], [0.500, 0.000, 0.633], [0.000, 0.500, 0.367], [0.000, 0.000, 0.500], [0.500, 0.000, 0.854], [0.000, 0.500, 0.146]]}

***

(6)
{"formula": "Sr3Al2CdHg6", "functional": "PBE-GGA", "state": "relaxed", "formation_enthalpy_0k_ev_per_atom": -0.1625, "lattice_angstrom": [[6.656, 0.000, 0.000], [-3.328, 5.764, 0.000], [0.000, 0.000, 9.120]], "species": ["Sr", "Sr", "Sr", "Al", "Al", "Cd", "Hg", "Hg", "Hg", "Hg", "Hg", "Hg"], "fractional_positions": [[0.333, 0.667, 0.633], [0.667, 0.333, 0.367], [0.000, 0.000, 0.000], [0.667, 0.333, 0.974], [0.333, 0.667, 0.026], [0.000, 0.000, 0.500], [0.642, 0.821, 0.274], [0.179, 0.358, 0.274], [0.179, 0.821, 0.274], [0.821, 0.642, 0.726], [0.358, 0.179, 0.726], [0.821, 0.179, 0.726]]}

***

(7)
{"formula": "ThAlCdHg", "functional": "PBE-GGA", "state": "relaxed", "formation_enthalpy_0k_ev_per_atom": -0.0936, "lattice_angstrom": [[-4.384, 0.990, 2.524], [-0.359, -1.020, 5.040], [-0.198, 3.866, 3.404]], "species": ["Al", "Hg", "Th", "Cd"], "fractional_positions": [[0.500, 0.500, 0.500], [0.000, 0.000, 0.000], [0.250, 0.250, 0.250], [0.750, 0.750, 0.750]]}

***

(8)
{"formula": "AlTlCdHg2", "functional": "PBE-GGA", "state": "relaxed", "formation_enthalpy_0k_ev_per_atom": 0.1411, "lattice_angstrom": [[-4.697, 2.382, -0.211], [-0.616, -0.756, 5.179], [2.346, 4.713, 0.967]], "species": ["Tl", "Al", "Hg", "Hg", "Cd"], "fractional_positions": [[0.500, 0.500, 0.500], [0.000, 0.000, 0.000], [0.000, 0.500, 0.000], [0.500, 0.000, 0.000], [0.000, 0.000, 0.500]]}

***

(9)
{"formula": "TmAlCdHg", "functional": "PBE-GGA", "state": "relaxed", "formation_enthalpy_0k_ev_per_atom": -0.2071, "lattice_angstrom": [[-2.491, -3.671, -2.284], [2.155, -2.544, -3.713], [1.365, -4.749, 0.693]], "species": ["Al", "Tm", "Hg", "Cd"], "fractional_positions": [[0.750, 0.750, 0.750], [0.250, 0.250, 0.250], [0.000, 0.000, 0.000], [0.500, 0.500, 0.500]]}

***

(10)
{"formula": "Tm4AlCdHg2", "functional": "PBE-GGA", "state": "relaxed", "formation_enthalpy_0k_ev_per_atom": -0.3900, "lattice_angstrom": [[-4.938, 1.192, -0.961], [-3.794, -2.852, 2.050], [-3.019, 4.473, 7.157]], "species": ["Tm", "Tm", "Tm", "Tm", "Al", "Cd", "Hg", "Hg"], "fractional_positions": [[0.377, 0.377, 0.868], [0.873, 0.873, 0.382], [0.127, 0.127, 0.618], [0.623, 0.623, 0.132], [0.500, 0.500, 0.500], [0.000, 0.000, 0.000], [0.747, 0.747, 0.758], [0.253, 0.253, 0.242]]}

***

(11)
{"formula": "YAlCdHg", "functional": "PBE-GGA", "state": "relaxed", "formation_enthalpy_0k_ev_per_atom": -0.2369, "lattice_angstrom": [[5.053, 0.000, 0.000], [2.526, 4.376, 0.000], [2.526, 1.459, 4.125]], "species": ["Y", "Al", "Hg", "Cd"], "fractional_positions": [[0.750, 0.750, 0.750], [0.500, 0.500, 0.500], [0.000, 0.000, 0.000], [0.250, 0.250, 0.250]]}

***

(12)
{"formula": "HoAlCd11", "functional": "PBE-GGA", "state": "relaxed", "formation_enthalpy_0k_ev_per_atom": -0.0408, "lattice_angstrom": [[5.434, 0.002, 2.264], [2.663, 6.993, 1.110], [0.006, 0.001, 7.639]], "species": ["Ho", "Al", "Cd", "Cd", "Cd", "Cd", "Cd", "Cd", "Cd", "Cd", "Cd", "Cd", "Cd"], "fractional_positions": [[0.000, 0.000, 0.000], [0.500, 0.500, 0.000], [0.293, 0.213, 0.209], [0.707, 0.787, 0.791], [0.497, 0.787, 0.209], [0.503, 0.213, 0.791], [0.355, 0.647, 0.653], [0.645, 0.353, 0.347], [0.992, 0.353, 0.653], [0.008, 0.647, 0.347], [0.000, 0.500, 0.000], [0.500, 0.000, 0.500], [0.000, 0.000, 0.500]]}

***

The records above yield uncorrected energy values of -6.5, -27.2, -12.1, -9.7, -14.3, -17.2, -12.8, -6.9, -10.3, -26.3, -12.4, -18.9 eV per formula unit, respectively.